CdRe2As: optimized geometry, PBE.

## Properties
**Energy**: -6.635 eV/atom
**DOS(E_F)**: 4.68 states/eV per cell
**Energy of formation**: 0.9806 eV per atom
**Polymorph energy (0 for the lowest one)**: 783.2 meV per atom

Cell and atoms, written as extended XYZ:
```
4
Lattice="3.8572 0.0000 0.0000 0.0000 3.8572 0.0000 0.0000 0.0000 4.6016" Properties=species:S:1:pos:R:3 pbc="T T T"
Cd 0.0000 0.0000 0.0000
Re 0.0000 1.9286 2.3008
Re 1.9286 0.0000 2.3008
As 1.9286 1.9286 0.0000
```